(1)
Computed, not measured: a relaxed SrAu2C crystal at the PBE level of DFT.

a b c (Å): 5.5471 5.5471 12.3658
angles (deg): 90.00 90.00 90.00
With the nearest neighbours (Å) after each atom.
Space group I-42d (No. 122)
Symmetry-distinct sites (fractional):
Sr (0.0000, 0.0000, 0.0000) (multiplicity 4)  4 Au 3.14
Au (0.0750, 0.2500, 0.6250) (multiplicity 8)  2 C 2.12
C (0.0000, 0.0000, 0.5000) (multiplicity 4)  4 Au 2.12

Summary:
**VASP energy**: -0.3015 Ry/atom
**Formation energy**: 0.263 eV per atom
**Volume**: 23.78 A^3/atom
**Size of the total moment**: 0.0 μB per cell
**Crystal system**: tetragonal


(2)
Computed, not measured: a relaxed RbUCo2Cl8 crystal at the PBE level of DFT.

a b c (Å): 6.4755 6.4755 30.0111
angles (deg): 90.00 90.00 120.00
With the nearest neighbours (Å) after each atom.
Space group R-3 (No. 148, hexagonal axes)
Symmetry-distinct sites (fractional):
Rb (0.0000, 0.0000, 0.0000) (multiplicity 3)  12 Cl 3.76-4.03
U (0.0000, 0.0000, 0.5000) (multiplicity 3)  6 Cl 2.69
Co (0.0000, 0.0000, 0.2468) (multiplicity 6)  4 Cl 2.19-2.30
Cl (0.0000, 0.0000, 0.3198) (multiplicity 6)  1 Co 2.19
Cl (0.0001, 0.3322, 0.2200) (multiplicity 18)  1 Co 2.30

Summary:
**VASP energy**: -0.3395 Ry/atom
**Energy relative to the elements, uncorrected**: -1.182 eV/atom
**Volume**: 30.27 A^3/atom
**Size of the total moment**: 9.0 μB per cell
**Crystal system**: trigonal


(3)
Computed, not measured: a relaxed NdThTeIr crystal at the PBE level of DFT.

a b c (Å): 4.2143 4.2143 23.0911
angles (deg): 90.00 90.00 120.00
With the nearest neighbours (Å) after each atom.
Space group R3m (No. 160, hexagonal axes)
Symmetry-distinct sites (fractional):
Nd (0.0000, 0.0000, 0.0000) (multiplicity 3)  3 Ir 2.95
Th (0.0000, 0.0000, 0.1980) (multiplicity 3)  3 Ir 2.83
Te (0.0000, 0.0000, 0.7654) (multiplicity 3)  3 Nd 3.33, 3 Th 3.34
Ir (0.0000, 0.0000, 0.5942) (multiplicity 3)  3 Th 2.83, 3 Nd 2.95

Summary:
**VASP energy**: -0.5252 Ry/atom
**Energy relative to the elements, uncorrected**: -1.098 eV/atom
**Volume**: 29.60 A^3/atom
**Size of the total moment**: 0.0 μB per cell
**Crystal system**: trigonal


(4)
Computed, not measured: a relaxed MnBe2Cu2 crystal at the PBE level of DFT.

a b c (Å): 6.3662 6.3662 2.4743
angles (deg): 90.00 90.00 90.00
With the nearest neighbours (Å) after each atom.
Space group P4/mbm (No. 127)
Symmetry-distinct sites (fractional):
Mn (0.0000, 0.0000, 0.0000) (multiplicity 2)  2 Mn 2.47, 4 Be 2.48, 8 Cu 2.68
Be (0.1339, 0.3661, 0.0000) (multiplicity 4)  6 Cu 2.21-2.27, 1 Be 2.41
Cu (0.1632, 0.6632, 0.5000) (multiplicity 4)  6 Be 2.21-2.27

Summary:
**VASP energy**: -0.3586 Ry/atom
**Formation energy**: 0.084 eV per atom
**Volume**: 10.03 A^3/atom
**Size of the total moment**: 1.3 μB per cell
**Polymorph energy (0 for the lowest one)**: 0 meV per atom
**Crystal system**: tetragonal


What did the fourth record say?
Computed, not measured: a relaxed MnBe2Cu2 crystal at the PBE level of DFT.

a b c (Å): 6.3662 6.3662 2.4743
angles (deg): 90.00 90.00 90.00
With the nearest neighbours (Å) after each atom.
Space group P4/mbm (No. 127)
Symmetry-distinct sites (fractional):
Mn (0.0000, 0.0000, 0.0000) (multiplicity 2)  2 Mn 2.47, 4 Be 2.48, 8 Cu 2.68
Be (0.1339, 0.3661, 0.0000) (multiplicity 4)  6 Cu 2.21-2.27, 1 Be 2.41
Cu (0.1632, 0.6632, 0.5000) (multiplicity 4)  6 Be 2.21-2.27

Summary:
**VASP energy**: -0.3586 Ry/atom
**Formation energy**: 0.084 eV per atom
**Volume**: 10.03 A^3/atom
**Size of the total moment**: 1.3 μB per cell
**Polymorph energy (0 for the lowest one)**: 0 meV per atom
**Crystal system**: tetragonal


Q: What is the size of the total moment in the fourth record?
A: 1.3 μB per cell


Q: Among the records above, which one has the highest volume?
A: RbUCo2Cl8


Q: Which of these has the lowest volume?
A: MnBe2Cu2